[1]
CsSmTeO | PBE-GGA | relaxed

Cell and atoms, written as CIF:
```
data_CsSmTeO
_chemical_formula_sum 'Cs3 Sm3 Te3 O3'
_cell_length_a 4.0003
_cell_length_b 4.0003
_cell_length_c 24.3577
_cell_angle_alpha 90.00
_cell_angle_beta 90.00
_cell_angle_gamma 120.00
_space_group_name_H-M_alt 'R 3 m'
_space_group_IT_number 160
_space_group_name_Hall 'R 3 -2"'
loop_
_atom_site_label
_atom_site_type_symbol
_atom_site_fract_x
_atom_site_fract_y
_atom_site_fract_z
Cs1 Cs 0.0000 0.0000 0.0000
Sm1 Sm 0.0000 0.0000 0.5298
Te1 Te 0.0000 0.0000 0.7785
O1 O 0.0000 0.0000 0.2333
```

Properties
Energy above the lowest structure with this stoichiometry   316.5 meV per atom
Magnetization   0.0 μB per cell

---

[2]
ErNpSb | PBE-GGA | relaxed

Cell and atoms, written as CIF:
```
data_ErNpSb
_chemical_formula_sum 'Er4 Np4 Sb4'
_cell_length_a 7.192
_cell_length_b 7.192
_cell_length_c 7.192
_cell_angle_alpha 90.00
_cell_angle_beta 90.00
_cell_angle_gamma 90.00
_space_group_name_H-M_alt 'F -4 3 m'
_space_group_IT_number 216
_space_group_name_Hall 'F -4 2 3'
loop_
_atom_site_label
_atom_site_type_symbol
_atom_site_fract_x
_atom_site_fract_y
_atom_site_fract_z
Er1 Er 0.000 0.000 0.000
Np1 Np 0.000 0.000 0.500
Sb1 Sb 0.250 0.250 0.250
```

Properties
VASP energy   -7.1713 eV per atom
Magnetization   23.2 μB per cell

---

[3]
Li2Ge2Pt | PBE-GGA | relaxed

Cell and atoms, written as CIF:
```
data_Li2Ge2Pt
_chemical_formula_sum 'Li4 Ge4 Pt2'
_cell_length_a 6.388
_cell_length_b 6.388
_cell_length_c 4.043
_cell_angle_alpha 90.00
_cell_angle_beta 90.00
_cell_angle_gamma 90.00
_space_group_name_H-M_alt 'P 4/m b m'
_space_group_IT_number 127
_space_group_name_Hall '-P 4 2ab'
loop_
_atom_site_label
_atom_site_type_symbol
_atom_site_fract_x
_atom_site_fract_y
_atom_site_fract_z
Li1 Li 0.172 0.328 0.000
Ge1 Ge 0.136 0.636 0.500
Pt1 Pt 0.000 0.000 0.500
```

Properties
VASP energy   -4.3198 eV per atom
Magnetization   0.0 μB per cell

---

[4]
AgBiTeO | PBE-GGA | relaxed

Cell and atoms, written as CIF:
```
data_AgBiTeO
_chemical_formula_sum 'Ag4 Bi4 Te4 O4'
_cell_length_a 7.078
_cell_length_b 7.681
_cell_length_c 6.797
_cell_angle_alpha 90.00
_cell_angle_beta 97.35
_cell_angle_gamma 90.00
_space_group_name_H-M_alt 'P 1 21/c 1'
_space_group_IT_number 14
_space_group_name_Hall '-P 2ybc'
loop_
_atom_site_label
_atom_site_type_symbol
_atom_site_fract_x
_atom_site_fract_y
_atom_site_fract_z
Ag1 Ag 0.059 0.198 0.485
Bi1 Bi 0.448 0.611 0.774
Te1 Te 0.177 0.529 0.326
O1 O 0.421 0.166 0.420
```

Properties
Energy above the lowest structure with this stoichiometry   122.5 meV per atom

---

[5]
TaCl | PBE-GGA | relaxed

Cell and atoms, written as CIF:
```
data_TaCl
_chemical_formula_sum 'Ta4 Cl4'
_cell_length_a 5.475
_cell_length_b 5.475
_cell_length_c 5.475
_cell_angle_alpha 90.00
_cell_angle_beta 90.00
_cell_angle_gamma 90.00
_space_group_name_H-M_alt 'F -4 3 m'
_space_group_IT_number 216
_space_group_name_Hall 'F -4 2 3'
loop_
_atom_site_label
_atom_site_type_symbol
_atom_site_fract_x
_atom_site_fract_y
_atom_site_fract_z
Ta1 Ta 0.000 0.000 0.000
Cl1 Cl 0.250 0.250 0.250
```

Properties
VASP energy   -5.7942 eV per atom
Magnetization   0.4 μB per cell

---

[6]
Cd3P2 | PBE-GGA | relaxed

Cell and atoms, written as CIF:
```
data_Cd3P2
_chemical_formula_sum 'Cd48 P32'
_cell_length_a 12.368
_cell_length_b 12.368
_cell_length_c 12.368
_cell_angle_alpha 90.00
_cell_angle_beta 90.00
_cell_angle_gamma 90.00
_space_group_name_H-M_alt 'I a -3'
_space_group_IT_number 206
_space_group_name_Hall '-I 2b 2c 3'
loop_
_atom_site_label
_atom_site_type_symbol
_atom_site_fract_x
_atom_site_fract_y
_atom_site_fract_z
Cd1 Cd 0.102 0.147 0.622
P1 P 0.000 0.000 0.000
P2 P 0.000 0.250 0.268
```

Properties
Energy above the lowest structure with this stoichiometry   14.8 meV per atom

---

[7]
KHoO2 | PBE-GGA | relaxed

Cell and atoms, written as CIF:
```
data_KHoO2
_chemical_formula_sum 'K4 Ho4 O8'
_cell_length_a 6.931
_cell_length_b 6.894
_cell_length_c 6.378
_cell_angle_alpha 90.00
_cell_angle_beta 90.00
_cell_angle_gamma 90.00
_space_group_name_H-M_alt 'P b c m'
_space_group_IT_number 57
_space_group_name_Hall '-P 2c 2b'
loop_
_atom_site_label
_atom_site_type_symbol
_atom_site_fract_x
_atom_site_fract_y
_atom_site_fract_z
K1 K 0.123 0.103 0.250
Ho1 Ho 0.360 0.658 0.250
O1 O 0.176 0.750 0.000
O2 O 0.406 0.146 0.750
```

Properties
VASP energy   -6.5021 eV per atom
Magnetization   0.0 μB per cell

---

[8]
HfSiNiMo | PBE-GGA | relaxed

Cell and atoms, written as CIF:
```
data_HfSiNiMo
_chemical_formula_sum 'Hf4 Si4 Ni4 Mo4'
_cell_length_a 6.187
_cell_length_b 6.187
_cell_length_c 6.187
_cell_angle_alpha 90.00
_cell_angle_beta 90.00
_cell_angle_gamma 90.00
_space_group_name_H-M_alt 'F -4 3 m'
_space_group_IT_number 216
_space_group_name_Hall 'F -4 2 3'
loop_
_atom_site_label
_atom_site_type_symbol
_atom_site_fract_x
_atom_site_fract_y
_atom_site_fract_z
Hf1 Hf 0.000 0.000 0.000
Si1 Si 0.000 0.000 0.500
Ni1 Ni 0.250 0.250 0.750
Mo1 Mo 0.250 0.250 0.250
```

Properties
Energy above the lowest structure with this stoichiometry   0.0 meV per atom
Magnetization   0.0 μB per cell

---

[9]
CsDyZnTe2Se | PBE-GGA | relaxed

Cell and atoms, written as CIF:
```
data_CsDyZnTe2Se
_chemical_formula_sum 'Cs4 Dy4 Zn4 Te8 Se4'
_cell_length_a 4.353
_cell_length_b 16.870
_cell_length_c 11.287
_cell_angle_alpha 90.00
_cell_angle_beta 90.00
_cell_angle_gamma 90.00
_space_group_name_H-M_alt 'C m c m'
_space_group_IT_number 63
_space_group_name_Hall '-C 2c 2'
loop_
_atom_site_label
_atom_site_type_symbol
_atom_site_fract_x
_atom_site_fract_y
_atom_site_fract_z
Cs1 Cs 0.000 0.233 0.250
Dy1 Dy 0.000 0.500 0.000
Zn1 Zn 0.000 0.039 0.750
Te1 Te 0.000 0.124 0.553
Se1 Se 0.000 0.453 0.750
```

Properties
VASP energy   -3.9520 eV per atom
Magnetization   0.0 μB per cell

---

[10]
CsRbHfSe3 | PBE-GGA | relaxed

Cell and atoms, written as CIF:
```
data_CsRbHfSe3
_chemical_formula_sum 'Cs2 Rb2 Hf2 Se6'
_cell_length_a 8.646
_cell_length_b 4.072
_cell_length_c 10.978
_cell_angle_alpha 90.00
_cell_angle_beta 96.91
_cell_angle_gamma 90.00
_space_group_name_H-M_alt 'P 1 21/m 1'
_space_group_IT_number 11
_space_group_name_Hall '-P 2yb'
loop_
_atom_site_label
_atom_site_type_symbol
_atom_site_fract_x
_atom_site_fract_y
_atom_site_fract_z
Cs1 Cs 0.081 0.250 0.146
Rb1 Rb 0.250 0.750 0.479
Hf1 Hf 0.407 0.250 0.831
Se1 Se 0.148 0.250 0.698
Se2 Se 0.327 0.750 0.983
Se3 Se 0.461 0.250 0.286
```

Properties
Energy above the lowest structure with this stoichiometry   0.0 meV per atom
Magnetization   0.0 μB per cell

---

[11]
LiCuAgAs | PBE-GGA | relaxed

Cell and atoms, written as CIF:
```
data_LiCuAgAs
_chemical_formula_sum 'Li4 Cu4 Ag4 As4'
_cell_length_a 6.220
_cell_length_b 6.220
_cell_length_c 6.220
_cell_angle_alpha 90.00
_cell_angle_beta 90.00
_cell_angle_gamma 90.00
_space_group_name_H-M_alt 'F -4 3 m'
_space_group_IT_number 216
_space_group_name_Hall 'F -4 2 3'
loop_
_atom_site_label
_atom_site_type_symbol
_atom_site_fract_x
_atom_site_fract_y
_atom_site_fract_z
Li1 Li 0.000 0.000 0.000
Cu1 Cu 0.000 0.000 0.500
Ag1 Ag 0.250 0.250 0.750
As1 As 0.250 0.250 0.250
```

Properties
Energy above the lowest structure with this stoichiometry   0.0 meV per atom

---

[12]
CsHoSc | PBE-GGA | relaxed

Cell and atoms, written as CIF:
```
data_CsHoSc
_chemical_formula_sum 'Cs4 Ho4 Sc4'
_cell_length_a 8.266
_cell_length_b 8.266
_cell_length_c 8.266
_cell_angle_alpha 90.00
_cell_angle_beta 90.00
_cell_angle_gamma 90.00
_space_group_name_H-M_alt 'F -4 3 m'
_space_group_IT_number 216
_space_group_name_Hall 'F -4 2 3'
loop_
_atom_site_label
_atom_site_type_symbol
_atom_site_fract_x
_atom_site_fract_y
_atom_site_fract_z
Cs1 Cs 0.000 0.000 0.000
Ho1 Ho 0.000 0.000 0.500
Sc1 Sc 0.250 0.250 0.250
```

Properties
Energy above the lowest structure with this stoichiometry   0.0 meV per atom
Magnetization   4.7 μB per cell

---

[13]
Li2ZnSb | PBE-GGA | relaxed

Cell and atoms, written as CIF:
```
data_Li2ZnSb
_chemical_formula_sum 'Li8 Zn4 Sb4'
_cell_length_a 6.658
_cell_length_b 6.658
_cell_length_c 6.658
_cell_angle_alpha 90.00
_cell_angle_beta 90.00
_cell_angle_gamma 90.00
_space_group_name_H-M_alt 'F -4 3 m'
_space_group_IT_number 216
_space_group_name_Hall 'F -4 2 3'
loop_
_atom_site_label
_atom_site_type_symbol
_atom_site_fract_x
_atom_site_fract_y
_atom_site_fract_z
Li1 Li 0.000 0.000 0.000
Li2 Li 0.250 0.250 0.250
Zn1 Zn 0.000 0.000 0.500
Sb1 Sb 0.250 0.250 0.750
```

Properties
VASP energy   -2.5368 eV per atom

---

[14]
LuBe2Ir | PBE-GGA | relaxed

Cell and atoms, written as CIF:
```
data_LuBe2Ir
_chemical_formula_sum 'Lu4 Be8 Ir4'
_cell_length_a 6.171
_cell_length_b 6.171
_cell_length_c 6.171
_cell_angle_alpha 90.00
_cell_angle_beta 90.00
_cell_angle_gamma 90.00
_space_group_name_H-M_alt 'F -4 3 m'
_space_group_IT_number 216
_space_group_name_Hall 'F -4 2 3'
loop_
_atom_site_label
_atom_site_type_symbol
_atom_site_fract_x
_atom_site_fract_y
_atom_site_fract_z
Lu1 Lu 0.000 0.000 0.000
Be1 Be 0.000 0.000 0.500
Be2 Be 0.250 0.250 0.250
Ir1 Ir 0.250 0.250 0.750
```

Properties
VASP energy   -5.3063 eV per atom
Magnetization   0.0 μB per cell

---

[15]
SmHfHg | PBE-GGA | relaxed

Cell and atoms, written as CIF:
```
data_SmHfHg
_chemical_formula_sum 'Sm4 Hf4 Hg4'
_cell_length_a 7.080
_cell_length_b 7.080
_cell_length_c 7.080
_cell_angle_alpha 90.00
_cell_angle_beta 90.00
_cell_angle_gamma 90.00
_space_group_name_H-M_alt 'F -4 3 m'
_space_group_IT_number 216
_space_group_name_Hall 'F -4 2 3'
loop_
_atom_site_label
_atom_site_type_symbol
_atom_site_fract_x
_atom_site_fract_y
_atom_site_fract_z
Sm1 Sm 0.000 0.000 0.000
Hf1 Hf 0.250 0.250 0.750
Hg1 Hg 0.250 0.250 0.250
```

Properties
Energy of formation from the pure elements   842 meV per atom
Energy above the lowest structure with this stoichiometry   540.0 meV per atom
Magnetization   3.7 μB per cell

---

[16]
Zr2Ni2Sn | PBE-GGA | relaxed

Cell and atoms, written as CIF:
```
data_Zr2Ni2Sn
_chemical_formula_sum 'Zr8 Ni8 Sn4'
_cell_length_a 7.095
_cell_length_b 7.095
_cell_length_c 6.847
_cell_angle_alpha 90.00
_cell_angle_beta 90.00
_cell_angle_gamma 90.00
_space_group_name_H-M_alt 'P 42/m n m'
_space_group_IT_number 136
_space_group_name_Hall '-P 4n 2n'
loop_
_atom_site_label
_atom_site_type_symbol
_atom_site_fract_x
_atom_site_fract_y
_atom_site_fract_z
Zr1 Zr 0.155 0.155 0.000
Zr2 Zr 0.183 0.183 0.500
Ni1 Ni 0.126 0.874 0.284
Sn1 Sn 0.000 0.500 0.250
```

Properties
VASP energy   -7.0269 eV per atom
Magnetization   0.0 μB per cell

---

[17]
BeCuNiB | PBE-GGA | relaxed

Cell and atoms, written as CIF:
```
data_BeCuNiB
_chemical_formula_sum 'Be4 Cu4 Ni4 B4'
_cell_length_a 5.186
_cell_length_b 5.186
_cell_length_c 5.186
_cell_angle_alpha 90.00
_cell_angle_beta 90.00
_cell_angle_gamma 90.00
_space_group_name_H-M_alt 'F -4 3 m'
_space_group_IT_number 216
_space_group_name_Hall 'F -4 2 3'
loop_
_atom_site_label
_atom_site_type_symbol
_atom_site_fract_x
_atom_site_fract_y
_atom_site_fract_z
Be1 Be 0.000 0.000 0.000
Cu1 Cu 0.250 0.250 0.750
Ni1 Ni 0.250 0.250 0.250
B1 B 0.000 0.000 0.500
```

Properties
Energy above the lowest structure with this stoichiometry   0.0 meV per atom
Magnetization   0.0 μB per cell

---

[18]
AcHgPO | PBE-GGA | relaxed

Cell and atoms, written as CIF:
```
data_AcHgPO
_chemical_formula_sum 'Ac2 Hg2 P2 O2'
_cell_length_a 5.527
_cell_length_b 4.350
_cell_length_c 7.225
_cell_angle_alpha 90.00
_cell_angle_beta 90.00
_cell_angle_gamma 90.00
_space_group_name_H-M_alt 'P m c 21'
_space_group_IT_number 26
_space_group_name_Hall 'P 2c -2'
loop_
_atom_site_label
_atom_site_type_symbol
_atom_site_fract_x
_atom_site_fract_y
_atom_site_fract_z
Ac1 Ac 0.000 0.204 0.000
Hg1 Hg 0.500 0.363 0.362
P1 P 0.500 0.157 0.682
O1 O 0.000 0.300 0.335
```

Properties
Energy above the lowest structure with this stoichiometry   145.2 meV per atom
Magnetization   0.0 μB per cell

---

[19]
Ni2GeS3 | PBE-GGA | relaxed

Cell and atoms, written as CIF:
```
data_Ni2GeS3
_chemical_formula_sum 'Ni8 Ge4 S12'
_cell_length_a 3.442
_cell_length_b 12.659
_cell_length_c 8.528
_cell_angle_alpha 90.00
_cell_angle_beta 90.00
_cell_angle_gamma 90.00
_space_group_name_H-M_alt 'C m c m'
_space_group_IT_number 63
_space_group_name_Hall '-C 2c 2'
loop_
_atom_site_label
_atom_site_type_symbol
_atom_site_fract_x
_atom_site_fract_y
_atom_site_fract_z
Ni1 Ni 0.000 0.000 0.000
Ni2 Ni 0.000 0.475 0.250
Ge1 Ge 0.000 0.232 0.750
S1 S 0.000 0.080 0.250
S2 S 0.000 0.360 0.057
```

Properties
VASP energy   -4.7997 eV per atom
Magnetization   0.0 μB per cell

---

[20]
SrAu | PBE-GGA | relaxed

Cell and atoms, written as CIF:
```
data_SrAu
_chemical_formula_sum 'Sr20 Au20'
_cell_length_a 6.188
_cell_length_b 4.746
_cell_length_c 40.078
_cell_angle_alpha 90.00
_cell_angle_beta 94.19
_cell_angle_gamma 90.00
_space_group_name_H-M_alt 'P 1 21/m 1'
_space_group_IT_number 11
_space_group_name_Hall '-P 2yb'
loop_
_atom_site_label
_atom_site_type_symbol
_atom_site_fract_x
_atom_site_fract_y
_atom_site_fract_z
Sr1 Sr 0.023 0.250 0.086
Sr2 Sr 0.074 0.750 0.614
Sr3 Sr 0.158 0.750 0.814
Sr4 Sr 0.162 0.750 0.314
Sr5 Sr 0.251 0.750 0.514
Sr6 Sr 0.262 0.750 0.014
Sr7 Sr 0.343 0.750 0.214
Sr8 Sr 0.352 0.750 0.714
Sr9 Sr 0.441 0.750 0.414
Sr10 Sr 0.464 0.250 0.886
Au1 Au 0.046 0.750 0.142
Au2 Au 0.048 0.250 0.558
Au3 Au 0.138 0.250 0.258
Au4 Au 0.147 0.250 0.758
Au5 Au 0.223 0.250 0.958
Au6 Au 0.238 0.250 0.458
Au7 Au 0.323 0.250 0.658
Au8 Au 0.333 0.250 0.158
Au9 Au 0.410 0.250 0.358
Au10 Au 0.493 0.750 0.942
```

Properties
VASP energy   -3.2589 eV per atom